(1)
This record from Alexandria via LeMat-Bulk describes a crystal of RbSrPd3 relaxed with PBEsol. The functional is SCAN.

Lattice parameters (Å, degrees): 5.3226 5.3226 5.3226 90.00 90.00 90.00
With the nearest neighbours (Å) after each atom.
Atoms (fractional coordinates):
1 Rb 0.0000 0.0000 0.0000  12 Pd 3.76
2 Sr 0.5000 0.5000 0.5000  6 Pd 2.66
3 Pd 0.0000 0.5000 0.5000  2 Sr 2.66
4 Pd 0.5000 0.0000 0.5000  2 Sr 2.66
5 Pd 0.5000 0.5000 0.0000  2 Sr 2.66

Summary:
Its crystal system is cubic. The space-group type is Pm-3m, No. 221. Its energy of formation is 286 kJ/mol of formula units.


(2)
This record from Alexandria via LeMat-Bulk describes a crystal of RbSr3Pd relaxed with PBEsol. The functional is SCAN.

Lattice parameters (Å, degrees): 6.1014 6.1014 6.1014 90.00 90.00 90.00
With the nearest neighbours (Å) after each atom.
Atoms (fractional coordinates):
1 Rb 0.0000 0.0000 0.0000  12 Sr 4.31
2 Sr 0.0000 0.5000 0.5000  2 Pd 3.05
3 Sr 0.5000 0.0000 0.5000  2 Pd 3.05
4 Sr 0.5000 0.5000 0.0000  2 Pd 3.05
5 Pd 0.5000 0.5000 0.5000  6 Sr 3.05

Summary:
Its crystal system is cubic. The space-group type is Pm-3m, No. 221. Its energy of formation is -117 kJ/mol of formula units.


(3)
This record from Alexandria via LeMat-Bulk describes a crystal of RbTcPd3 relaxed with PBEsol. The functional is SCAN.

Lattice parameters (Å, degrees): 4.9017 4.9017 4.9017 90.00 90.00 90.00
With the nearest neighbours (Å) after each atom.
Atoms (fractional coordinates):
1 Rb 0.0000 0.0000 0.0000  6 Pd 2.45
2 Tc 0.5000 0.5000 0.5000  12 Pd 3.47
3 Pd 0.0000 0.0000 0.5000  2 Rb 2.45
4 Pd 0.0000 0.5000 0.0000  2 Rb 2.45
5 Pd 0.5000 0.0000 0.0000  2 Rb 2.45

Summary:
Its crystal system is cubic. The space-group type is Pm-3m, No. 221. Its energy of formation is 1019 kJ/mol of formula units.


(4)
This record from Alexandria via LeMat-Bulk describes a crystal of RbTe2Pd2 relaxed with PBEsol. The functional is SCAN.

Lattice parameters (Å, degrees): 4.5103 4.5103 12.7233 90.00 90.00 90.00
With the nearest neighbours (Å) after each atom.
Atoms (fractional coordinates):
1 Rb 0.0000 0.0000 0.0000  8 Te 3.65, 8 Pd 3.90
2 Rb 0.5000 0.5000 0.5000  8 Te 3.65, 8 Pd 3.90
3 Te 0.0000 0.0000 0.3607  4 Pd 2.66
4 Te 0.0000 0.0000 0.6393  4 Pd 2.66
5 Te 0.5000 0.5000 0.1393  4 Pd 2.66
6 Te 0.5000 0.5000 0.8607  4 Pd 2.66
7 Pd 0.0000 0.5000 0.2500  4 Te 2.66
8 Pd 0.0000 0.5000 0.7500  4 Te 2.66
9 Pd 0.5000 0.0000 0.2500  4 Te 2.66
10 Pd 0.5000 0.0000 0.7500  4 Te 2.66

Summary:
Its crystal system is tetragonal. As for the raw formation energy: -0.60 eV/atom. The space-group type is I4/mmm, No. 139.


(5)
This record from Alexandria via LeMat-Bulk describes a crystal of Rb2YTiPd relaxed with PBEsol. The functional is SCAN.

Lattice parameters (Å, degrees): 5.7408 5.7408 5.5375 90.00 90.00 90.00
With the nearest neighbours (Å) after each atom.
Atoms (fractional coordinates):
1 Rb 0.0000 0.5000 0.0000  2 Ti 2.87
2 Rb 0.5000 0.0000 0.0000  2 Ti 2.87
3 Y 0.0000 0.0000 0.5000  2 Ti 2.77
4 Ti 0.0000 0.0000 0.0000  2 Y 2.77, 4 Rb 2.87
5 Pd 0.5000 0.5000 0.5000  8 Rb 3.99, 4 Y 4.06

Summary:
Its crystal system is tetragonal. The space-group type is P4/mmm, No. 123. Its energy of formation is 662 kJ/mol of formula units.


(6)
This record from Alexandria via LeMat-Bulk describes a crystal of Rb2TlPd relaxed with PBEsol. The functional is SCAN.

Lattice parameters (Å, degrees): 8.1253 8.1253 8.1253 90.00 90.00 90.00
With the nearest neighbours (Å) after each atom.
Atoms (fractional coordinates):
1 Rb 0.2500 0.2500 0.2500  4 Pd 3.52, 4 Tl 3.52
2 Rb 0.2500 0.2500 0.7500  4 Tl 3.52, 4 Pd 3.52
3 Rb 0.2500 0.7500 0.2500  4 Tl 3.52, 4 Pd 3.52
4 Rb 0.2500 0.7500 0.7500  4 Tl 3.52, 4 Pd 3.52
5 Rb 0.7500 0.2500 0.2500  4 Tl 3.52, 4 Pd 3.52
6 Rb 0.7500 0.2500 0.7500  4 Tl 3.52, 4 Pd 3.52
7 Rb 0.7500 0.7500 0.2500  4 Tl 3.52, 4 Pd 3.52
8 Rb 0.7500 0.7500 0.7500  4 Tl 3.52, 4 Pd 3.52
9 Tl 0.0000 0.0000 0.0000  8 Rb 3.52
10 Tl 0.0000 0.5000 0.5000  8 Rb 3.52
11 Tl 0.5000 0.0000 0.5000  8 Rb 3.52
12 Tl 0.5000 0.5000 0.0000  8 Rb 3.52
13 Pd 0.0000 0.0000 0.5000  8 Rb 3.52
14 Pd 0.0000 0.5000 0.0000  8 Rb 3.52
15 Pd 0.5000 0.0000 0.0000  8 Rb 3.52
16 Pd 0.5000 0.5000 0.5000  8 Rb 3.52

Summary:
Its crystal system is cubic. The space-group type is Fm-3m, No. 225. Its relative energy among the computed polymorphs is 0.289 eV per atom. Its energy of formation is 94 kJ/mol of formula units.


(7)
This record from Alexandria via LeMat-Bulk describes a crystal of Rb2TlPd relaxed with PBEsol. The functional is SCAN.

Lattice parameters (Å, degrees): 12.0358 12.0358 5.2301 90.00 90.00 90.00
With the nearest neighbours (Å) after each atom.
Atoms (fractional coordinates):
1 Rb 0.0889 0.2500 0.1250  2 Pd 3.26
2 Rb 0.2500 0.5889 0.3750  2 Pd 3.26
3 Rb 0.2500 0.9111 0.8750  2 Pd 3.26
4 Rb 0.4111 0.2500 0.6250  2 Pd 3.26
5 Rb 0.5889 0.7500 0.6250  2 Pd 3.26
6 Rb 0.7500 0.0889 0.8750  2 Pd 3.26
7 Rb 0.7500 0.4111 0.3750  2 Pd 3.26
8 Rb 0.9111 0.7500 0.1250  2 Pd 3.26
9 Tl 0.0000 0.0000 0.5000  2 Pd 2.62
10 Tl 0.0000 0.5000 0.7500  2 Pd 2.62
11 Tl 0.5000 0.0000 0.2500  2 Pd 2.62
12 Tl 0.5000 0.5000 0.0000  2 Pd 2.62
13 Pd 0.0000 0.0000 0.0000  2 Tl 2.62
14 Pd 0.0000 0.5000 0.2500  2 Tl 2.62
15 Pd 0.5000 0.0000 0.7500  2 Tl 2.62
16 Pd 0.5000 0.5000 0.5000  2 Tl 2.62

Summary:
Its crystal system is tetragonal. The space-group type is I-42d, No. 122. Its relative energy among the computed polymorphs is 0.000 eV per atom. Its energy of formation is -18 kJ/mol of formula units.


(8)
This record from Alexandria via LeMat-Bulk describes a crystal of RbTl3Pd relaxed with PBEsol. The functional is SCAN.

Lattice parameters (Å, degrees): 5.3650 5.3650 5.3650 90.00 90.00 90.00
With the nearest neighbours (Å) after each atom.
Atoms (fractional coordinates):
1 Rb 0.0000 0.0000 0.0000  12 Tl 3.79
2 Tl 0.0000 0.5000 0.5000  2 Pd 2.68
3 Tl 0.5000 0.0000 0.5000  2 Pd 2.68
4 Tl 0.5000 0.5000 0.0000  2 Pd 2.68
5 Pd 0.5000 0.5000 0.5000  6 Tl 2.68

Summary:
Its crystal system is cubic. The space-group type is Pm-3m, No. 221. Its energy of formation is -55 kJ/mol of formula units.


(9)
This record from Alexandria via LeMat-Bulk describes a crystal of RbPd3W relaxed with PBEsol. The functional is SCAN.

Lattice parameters (Å, degrees): 4.8507 4.8507 4.8507 90.00 90.00 90.00
With the nearest neighbours (Å) after each atom.
Atoms (fractional coordinates):
1 Rb 0.0000 0.0000 0.0000  6 Pd 2.43
2 Pd 0.0000 0.0000 0.5000  2 Rb 2.43
3 Pd 0.0000 0.5000 0.0000  2 Rb 2.43
4 Pd 0.5000 0.0000 0.0000  2 Rb 2.43
5 W 0.5000 0.5000 0.5000  12 Pd 3.43

Summary:
Its crystal system is cubic. The space-group type is Pm-3m, No. 221. Its energy of formation is 1225 kJ/mol of formula units.


(10)
This record from Alexandria via LeMat-Bulk describes a crystal of RbZrPd2W relaxed with PBEsol. The functional is SCAN.

Lattice parameters (Å, degrees): 4.8054 4.8054 5.1013 90.00 90.00 90.00
With the nearest neighbours (Å) after each atom.
Atoms (fractional coordinates):
1 Rb 0.0000 0.0000 0.0000  2 W 2.55
2 Zr 0.5000 0.5000 0.0000  4 Rb 3.40, 8 Pd 3.50
3 Pd 0.0000 0.5000 0.5000  2 W 2.40
4 Pd 0.5000 0.0000 0.5000  2 W 2.40
5 W 0.0000 0.0000 0.5000  4 Pd 2.40, 2 Rb 2.55

Summary:
Its crystal system is tetragonal. The space-group type is P4/mmm, No. 123. Its energy of formation is 817 kJ/mol of formula units.


(11)
This record from Alexandria via LeMat-Bulk describes a crystal of RbY3Pd relaxed with PBEsol. The functional is SCAN.

Lattice parameters (Å, degrees): 5.5537 5.5537 5.5537 90.00 90.00 90.00
With the nearest neighbours (Å) after each atom.
Atoms (fractional coordinates):
1 Rb 0.0000 0.0000 0.0000  12 Y 3.93
2 Y 0.0000 0.5000 0.5000  2 Pd 2.78
3 Y 0.5000 0.0000 0.5000  2 Pd 2.78
4 Y 0.5000 0.5000 0.0000  2 Pd 2.78
5 Pd 0.5000 0.5000 0.5000  6 Y 2.78

Summary:
Its crystal system is cubic. The space-group type is Pm-3m, No. 221. Its energy of formation is -27 kJ/mol of formula units.


(12)
This record from Alexandria via LeMat-Bulk describes a crystal of RbZr2Pd relaxed with PBEsol. The functional is SCAN.

Lattice parameters (Å, degrees): 6.9249 6.9249 6.9249 90.00 90.00 90.00
With the nearest neighbours (Å) after each atom.
Atoms (fractional coordinates):
1 Rb 0.0000 0.0000 0.0000  8 Zr 3.00
2 Rb 0.0000 0.5000 0.5000  8 Zr 3.00
3 Rb 0.5000 0.0000 0.5000  8 Zr 3.00
4 Rb 0.5000 0.5000 0.0000  8 Zr 3.00
5 Zr 0.2500 0.2500 0.2500  4 Rb 3.00, 4 Pd 3.00
6 Zr 0.2500 0.2500 0.7500  4 Rb 3.00, 4 Pd 3.00
7 Zr 0.2500 0.7500 0.2500  4 Rb 3.00, 4 Pd 3.00
8 Zr 0.2500 0.7500 0.7500  4 Rb 3.00, 4 Pd 3.00
9 Zr 0.7500 0.2500 0.2500  4 Rb 3.00, 4 Pd 3.00
10 Zr 0.7500 0.2500 0.7500  4 Rb 3.00, 4 Pd 3.00
11 Zr 0.7500 0.7500 0.2500  4 Rb 3.00, 4 Pd 3.00
12 Zr 0.7500 0.7500 0.7500  4 Rb 3.00, 4 Pd 3.00
13 Pd 0.0000 0.0000 0.5000  8 Zr 3.00
14 Pd 0.0000 0.5000 0.0000  8 Zr 3.00
15 Pd 0.5000 0.0000 0.0000  8 Zr 3.00
16 Pd 0.5000 0.5000 0.5000  8 Zr 3.00

Summary:
Its crystal system is cubic. The space-group type is Fm-3m, No. 225. Its energy of formation is 255 kJ/mol of formula units.


In order of appearance, DOS at the Fermi energy = 1.99, 3.47, 2.51, 3.32, 3.11, 2.84, 1.94, 3.11, 3.72, 5.08, 6.82, 4.95 states/eV/f.u..
In order of appearance, raw total energy = -138.4, -121.6, -143.6, -327.5, -111.3, -582.6, -587.2, -271.2, -176.1, -178.2, -137.3, -449.1 eV for the cell shown.